A relaxed structure of TaAgOs2. Source: the Alexandria database, functional GGA-PBEsol.

a = 2.7819 Å, b = 2.7819 Å, c = 8.0253 Å
α = 90.00°, β = 90.00°, γ = 90.00°
Closest atoms and distances in Å follow each position.
Space group P4/mmm (No. 123)
Symmetry-distinct sites (fractional):
Ta 0.0000 0.0000 0.0000 (multiplicity 1)  8 Os 2.76, 4 Ta 2.78
Ag 0.0000 0.0000 0.5000 (multiplicity 1)  4 Ag 2.78, 8 Os 2.86
Os 0.5000 0.5000 0.2413 (multiplicity 2)  4 Ta 2.76, 4 Os 2.78, 4 Ag 2.86

Calculated values
Energy relative to the elements (meV/atom): 396
V (Å³/cell): 62.1
Energy (eV per atom): -9.68
Polymorph energy (0 for the lowest one) (kJ per mole of atoms): 10.3